Below is crystalline K2Sb2Pt at its relaxed geometry, with properties calculated at the PBE level.

Summary:
Crystal system: tetragonal
Raw formation energy (eV/atom): 0.290

Structure (CIF):
```
data_K2Sb2Pt
_cell_length_a 10.374
_cell_length_b 10.374
_cell_length_c 3.054
_cell_angle_alpha 90.00
_cell_angle_beta 90.00
_cell_angle_gamma 90.00
_space_group_name_H-M_alt 'P 1'
_space_group_IT_number 1
_space_group_name_Hall 'P 1'
loop_
_atom_site_label
_atom_site_type_symbol
_atom_site_fract_x
_atom_site_fract_y
_atom_site_fract_z
Sb1 Sb 0.093 0.593 0.500
Sb2 Sb 0.593 0.907 0.500
Sb3 Sb 0.907 0.407 0.500
Sb4 Sb 0.407 0.093 0.500
K1 K 0.298 0.798 0.000
K2 K 0.798 0.702 0.000
K3 K 0.702 0.202 0.000
K4 K 0.202 0.298 0.000
Pt1 Pt 0.000 0.000 0.000
Pt2 Pt 0.500 0.500 0.000
```

***

Below is crystalline Pm3MgHg4 at its relaxed geometry, with properties calculated at the PBE level.

Summary:
Distance to the lowest polymorph of the same formula (eV per atom): 0.000
Crystal system: trigonal

Structure (CIF):
```
data_Pm3MgHg4
_cell_length_a 5.236
_cell_length_b 5.236
_cell_length_c 9.355
_cell_angle_alpha 73.75
_cell_angle_beta 73.75
_cell_angle_gamma 60.00
_space_group_name_H-M_alt 'P 1'
_space_group_IT_number 1
_space_group_name_Hall 'P 1'
loop_
_atom_site_label
_atom_site_type_symbol
_atom_site_fract_x
_atom_site_fract_y
_atom_site_fract_z
Mg1 Mg 0.000 0.000 0.000
Hg1 Hg 0.875 0.875 0.375
Hg2 Hg 0.375 0.375 0.875
Hg3 Hg 0.125 0.125 0.625
Hg4 Hg 0.625 0.625 0.125
Pm1 Pm 0.257 0.257 0.230
Pm2 Pm 0.743 0.743 0.770
Pm3 Pm 0.500 0.500 0.500
```

***

Below is crystalline Dy3Si12Ru4 at its relaxed geometry, with properties calculated at the PBE level.

Summary:
Crystal system: orthorhombic
Raw formation energy (eV/atom): -0.647

Structure (CIF):
```
data_Dy3Si12Ru4
_cell_length_a 10.116
_cell_length_b 10.116
_cell_length_c 8.138
_cell_angle_alpha 90.00
_cell_angle_beta 90.00
_cell_angle_gamma 132.59
_space_group_name_H-M_alt 'P 1'
_space_group_IT_number 1
_space_group_name_Hall 'P 1'
loop_
_atom_site_label
_atom_site_type_symbol
_atom_site_fract_x
_atom_site_fract_y
_atom_site_fract_z
Dy1 Dy 0.500 0.500 0.500
Dy2 Dy 0.000 0.000 0.000
Dy3 Dy 0.503 0.003 0.750
Dy4 Dy 0.997 0.497 0.250
Dy5 Dy 0.497 0.997 0.250
Dy6 Dy 0.003 0.503 0.750
Si1 Si 0.795 0.205 0.500
Si2 Si 0.295 0.705 0.000
Si3 Si 0.205 0.795 0.500
Si4 Si 0.705 0.295 0.000
Si5 Si 0.333 0.333 0.833
Si6 Si 0.667 0.667 0.167
Si7 Si 0.167 0.167 0.333
Si8 Si 0.833 0.833 0.667
Si9 Si 0.122 0.887 0.728
Si10 Si 0.113 0.878 0.272
Si11 Si 0.613 0.378 0.228
Si12 Si 0.622 0.387 0.772
Si13 Si 0.878 0.113 0.272
Si14 Si 0.887 0.122 0.728
Si15 Si 0.387 0.622 0.772
Si16 Si 0.378 0.613 0.228
Si17 Si 0.345 0.111 0.505
Si18 Si 0.889 0.655 0.495
Si19 Si 0.389 0.155 0.005
Si20 Si 0.845 0.611 0.995
Si21 Si 0.655 0.889 0.495
Si22 Si 0.111 0.345 0.505
Si23 Si 0.611 0.845 0.995
Si24 Si 0.155 0.389 0.005
Ru1 Ru 0.669 0.331 0.500
Ru2 Ru 0.169 0.831 0.000
Ru3 Ru 0.331 0.669 0.500
Ru4 Ru 0.831 0.169 0.000
Ru5 Ru 0.127 0.127 0.627
Ru6 Ru 0.873 0.873 0.373
Ru7 Ru 0.373 0.373 0.127
Ru8 Ru 0.627 0.627 0.873
```

***

Below is crystalline LiErSeO4 at its relaxed geometry, with properties calculated at the PBE level.

Summary:
Crystal system: orthorhombic
Raw formation energy (eV/atom): -1.963

Structure (CIF):
```
data_LiErSeO4
_cell_length_a 7.092
_cell_length_b 6.297
_cell_length_c 6.297
_cell_angle_alpha 64.77
_cell_angle_beta 55.73
_cell_angle_gamma 55.73
_space_group_name_H-M_alt 'P 1'
_space_group_IT_number 1
_space_group_name_Hall 'P 1'
loop_
_atom_site_label
_atom_site_type_symbol
_atom_site_fract_x
_atom_site_fract_y
_atom_site_fract_z
Li1 Li 0.500 0.000 0.500
Li2 Li 0.000 0.000 0.500
Er1 Er 0.000 0.000 0.000
Er2 Er 0.000 0.500 0.500
Se1 Se 0.575 0.675 0.175
Se2 Se 0.425 0.325 0.825
O1 O 0.709 0.743 0.839
O2 O 0.291 0.661 0.757
O3 O 0.709 0.339 0.243
O4 O 0.291 0.257 0.161
O5 O 0.184 0.769 0.269
O6 O 0.778 0.769 0.269
O7 O 0.222 0.231 0.731
O8 O 0.816 0.231 0.731
```

***

Below is crystalline Mg2ZnCd2 at its relaxed geometry, with properties calculated at the PBE level.

Summary:
Distance to the lowest polymorph of the same formula (eV per atom): 0.215
Crystal system: tetragonal

Structure (CIF):
```
data_Mg2ZnCd2
_cell_length_a 4.106
_cell_length_b 4.106
_cell_length_c 7.587
_cell_angle_alpha 74.30
_cell_angle_beta 74.30
_cell_angle_gamma 90.00
_space_group_name_H-M_alt 'P 1'
_space_group_IT_number 1
_space_group_name_Hall 'P 1'
loop_
_atom_site_label
_atom_site_type_symbol
_atom_site_fract_x
_atom_site_fract_y
_atom_site_fract_z
Zn1 Zn 0.000 0.000 0.000
Mg1 Mg 0.750 0.250 0.500
Mg2 Mg 0.250 0.750 0.500
Cd1 Cd 0.402 0.402 0.196
Cd2 Cd 0.598 0.598 0.804
```

***

Below is crystalline Pr6ZnCd5 at its relaxed geometry, with properties calculated at the PBE level.

Summary:
Crystal system: orthorhombic

Structure (CIF):
```
data_Pr6ZnCd5
_cell_length_a 5.437
_cell_length_b 7.744
_cell_length_c 9.434
_cell_angle_alpha 65.77
_cell_angle_beta 73.23
_cell_angle_gamma 90.00
_space_group_name_H-M_alt 'P 1'
_space_group_IT_number 1
_space_group_name_Hall 'P 1'
loop_
_atom_site_label
_atom_site_type_symbol
_atom_site_fract_x
_atom_site_fract_y
_atom_site_fract_z
Pr1 Pr 0.837 0.593 0.325
Pr2 Pr 0.837 0.082 0.325
Pr3 Pr 0.500 0.761 0.000
Pr4 Pr 0.500 0.239 0.000
Pr5 Pr 0.163 0.918 0.675
Pr6 Pr 0.163 0.407 0.675
Zn1 Zn 0.000 0.000 0.000
Cd1 Cd 0.672 0.172 0.656
Cd2 Cd 0.334 0.334 0.333
Cd3 Cd 0.000 0.500 0.000
Cd4 Cd 0.666 0.666 0.667
Cd5 Cd 0.328 0.828 0.344
```

***

Below is crystalline SnGeSbI2 at its relaxed geometry, with properties calculated at the PBE level.

Summary:
Distance to the lowest polymorph of the same formula (eV per atom): 0.000
Crystal system: tetragonal
Raw formation energy (eV/atom): 0.327

Structure (CIF):
```
data_SnGeSbI2
_cell_length_a 5.599
_cell_length_b 5.599
_cell_length_c 5.672
_cell_angle_alpha 90.00
_cell_angle_beta 90.00
_cell_angle_gamma 90.00
_space_group_name_H-M_alt 'P 1'
_space_group_IT_number 1
_space_group_name_Hall 'P 1'
loop_
_atom_site_label
_atom_site_type_symbol
_atom_site_fract_x
_atom_site_fract_y
_atom_site_fract_z
I1 I 0.000 0.500 0.000
I2 I 0.500 0.000 0.000
Sb1 Sb 0.000 0.000 0.500
Ge1 Ge 0.000 0.000 0.000
Sn1 Sn 0.500 0.500 0.500
```

***

Below is crystalline Mg5Ag24 at its relaxed geometry, with properties calculated at the PBE level.

Summary:
Crystal system: cubic

Structure (CIF):
```
data_Mg5Ag24
_cell_length_a 8.881
_cell_length_b 8.881
_cell_length_c 8.881
_cell_angle_alpha 109.47
_cell_angle_beta 109.47
_cell_angle_gamma 109.47
_space_group_name_H-M_alt 'P 1'
_space_group_IT_number 1
_space_group_name_Hall 'P 1'
loop_
_atom_site_label
_atom_site_type_symbol
_atom_site_fract_x
_atom_site_fract_y
_atom_site_fract_z
Ag1 Ag 0.191 0.378 0.000
Ag2 Ag 0.378 0.191 0.000
Ag3 Ag 0.809 0.809 0.187
Ag4 Ag 0.622 0.622 0.813
Ag5 Ag 0.809 0.187 0.809
Ag6 Ag 0.622 0.813 0.622
Ag7 Ag 0.378 0.000 0.191
Ag8 Ag 0.191 0.000 0.378
Ag9 Ag 0.000 0.378 0.191
Ag10 Ag 0.000 0.191 0.378
Ag11 Ag 0.813 0.622 0.622
Ag12 Ag 0.187 0.809 0.809
Ag13 Ag 0.686 0.412 0.000
Ag14 Ag 0.412 0.686 0.000
Ag15 Ag 0.314 0.314 0.726
Ag16 Ag 0.588 0.588 0.274
Ag17 Ag 0.314 0.726 0.314
Ag18 Ag 0.588 0.274 0.588
Ag19 Ag 0.412 0.000 0.686
Ag20 Ag 0.686 0.000 0.412
Ag21 Ag 0.000 0.412 0.686
Ag22 Ag 0.000 0.686 0.412
Ag23 Ag 0.274 0.588 0.588
Ag24 Ag 0.726 0.314 0.314
Mg1 Mg 0.000 0.635 0.000
Mg2 Mg 0.635 0.000 0.000
Mg3 Mg 0.000 0.000 0.635
Mg4 Mg 0.365 0.365 0.365
Mg5 Mg 0.000 0.000 0.000
```

***

Below is crystalline Br2Cl at its relaxed geometry, with properties calculated at the PBE level.

Summary:
Distance to the lowest polymorph of the same formula (eV per atom): 0.593
Crystal system: hexagonal
Raw formation energy (eV/atom): 0.638

Structure (CIF):
```
data_Br2Cl
_cell_length_a 4.714
_cell_length_b 4.714
_cell_length_c 8.706
_cell_angle_alpha 90.00
_cell_angle_beta 90.00
_cell_angle_gamma 120.00
_space_group_name_H-M_alt 'P 1'
_space_group_IT_number 1
_space_group_name_Hall 'P 1'
loop_
_atom_site_label
_atom_site_type_symbol
_atom_site_fract_x
_atom_site_fract_y
_atom_site_fract_z
Br1 Br 0.000 0.000 0.000
Br2 Br 0.000 0.000 0.500
Br3 Br 0.333 0.667 0.250
Br4 Br 0.667 0.333 0.750
Cl1 Cl 0.667 0.333 0.250
Cl2 Cl 0.333 0.667 0.750
```

***

Below is crystalline BeSiPdPt at its relaxed geometry, with properties calculated at the PBE level.

Summary:
Crystal system: cubic
Raw formation energy (eV/atom): -0.508

Structure (CIF):
```
data_BeSiPdPt
_cell_length_a 4.179
_cell_length_b 4.179
_cell_length_c 4.179
_cell_angle_alpha 60.00
_cell_angle_beta 60.00
_cell_angle_gamma 60.00
_space_group_name_H-M_alt 'P 1'
_space_group_IT_number 1
_space_group_name_Hall 'P 1'
loop_
_atom_site_label
_atom_site_type_symbol
_atom_site_fract_x
_atom_site_fract_y
_atom_site_fract_z
Be1 Be 0.000 0.000 0.000
Si1 Si 0.500 0.500 0.500
Pd1 Pd 0.250 0.250 0.250
Pt1 Pt 0.750 0.750 0.750
```

***

For the records above, the corresponding density of states at the Fermi level values read 6.356; 6.377; 4.795; 0.000; 1.628; 16.191; 3.586; 11.007; 4.516; 1.597 states/eV/f.u..
For the records above, the corresponding VASP energy values read -3.006; -2.590; -6.751; -6.219; -1.071; -3.188; -2.842; -2.661; -1.092; -5.604 eV per atom.